1.
A geometry-optimized Cd4PdAu2 structure. Source: Alexandria, functional GGA-PBE.

Values from the calculation:
crystal system: trigonal
energy relative to the lowest polymorph listed for this composition: 0.00 eV per formula unit
symmetry: R-3m (166)
formation enthalpy at 0 K: -250 meV per atom

Cell: 8.021 8.021 8.021 Å, 34.06 34.06 34.06°
Atoms (fractional coordinates):
Cd1 0.122 0.122 0.122
Cd2 0.373 0.373 0.373
Cd3 0.627 0.627 0.627
Cd4 0.878 0.878 0.878
Pd1 0.500 0.500 0.500
Au1 0.249 0.249 0.249
Au2 0.751 0.751 0.751

2.
A geometry-optimized PmYZnNi structure. Source: Alexandria, functional GGA-PBE.

Values from the calculation:
crystal system: cubic
energy relative to the lowest polymorph listed for this composition: 0.10 eV per formula unit
symmetry: F-43m (216)
formation enthalpy at 0 K: -298 meV per atom

Cell: 4.990 4.990 4.990 Å, 60.00 60.00 60.00°
Atoms (fractional coordinates):
Pm1 0.000 0.000 0.000
Y1 0.500 0.500 0.500
Zn1 0.250 0.250 0.250
Ni1 0.750 0.750 0.750

3.
A geometry-optimized PrScNi10 structure. Source: Alexandria, functional GGA-PBE.

Values from the calculation:
crystal system: orthorhombic
symmetry: Pmmm (47)
formation enthalpy at 0 K: -268 meV per atom

Cell: 3.972 4.854 8.440 Å, 90.00 90.00 90.00°
Atoms (fractional coordinates):
Pr1 0.000 0.000 0.000
Sc1 0.000 0.500 0.500
Ni1 0.000 0.000 0.343
Ni2 0.000 0.000 0.657
Ni3 0.000 0.500 0.182
Ni4 0.000 0.500 0.818
Ni5 0.500 0.000 0.500
Ni6 0.500 0.253 0.258
Ni7 0.500 0.253 0.742
Ni8 0.500 0.500 0.000
Ni9 0.500 0.747 0.258
Ni10 0.500 0.747 0.742